Computed, not measured: a relaxed structure of Nd11Dy4Sc9 at the PBE-GGA level of DFT.

Cell lengths 3.5989, 14.9263, 14.9263 Å; angles 113.37, 90.00, 90.00 degrees
With the nearest neighbours (Å) after each atom.
Positions (direct):
Nd 0.0000 0.5986 0.9621  2 Dy 3.36, 6 Sc 3.43-3.68, 4 Nd 3.55-3.64
Nd 0.0000 0.4014 0.0379  2 Dy 3.36, 6 Sc 3.43-3.68, 4 Nd 3.55-3.64
Nd 0.0000 0.9621 0.5986  2 Dy 3.36, 6 Sc 3.43-3.68, 4 Nd 3.55-3.64
Nd 0.0000 0.0379 0.4014  2 Dy 3.36, 6 Sc 3.43-3.68, 4 Nd 3.55-3.64
Nd 0.0000 0.6335 0.3665  4 Dy 3.26, 4 Sc 3.45, 2 Nd 3.60
Nd 0.0000 0.3665 0.6335  4 Dy 3.26, 4 Sc 3.45, 2 Nd 3.60
Nd 0.0000 0.8390 0.1610  5 Nd 3.60-4.02, 8 Sc 3.62-3.63
Nd 0.0000 0.1610 0.8390  5 Nd 3.60-4.02, 8 Sc 3.62-3.63
Nd 0.0000 0.0000 0.0000  8 Sc 3.43, 2 Nd 3.60
Nd 0.0000 0.7157 0.7157  4 Dy 3.24, 4 Sc 3.51, 2 Nd 3.60
Nd 0.0000 0.2843 0.2843  4 Dy 3.24, 4 Sc 3.51, 2 Nd 3.60
Dy 0.5000 0.5571 0.7597  6 Nd 3.24-3.36, 3 Sc 3.39-3.62, 2 Dy 3.60
Dy 0.5000 0.4429 0.2403  6 Nd 3.24-3.36, 3 Sc 3.39-3.62, 2 Dy 3.60
Dy 0.5000 0.7597 0.5571  6 Nd 3.24-3.36, 3 Sc 3.39-3.62, 2 Dy 3.60
Dy 0.5000 0.2403 0.4429  6 Nd 3.24-3.36, 3 Sc 3.39-3.62, 2 Dy 3.60
Sc 0.5000 0.6320 0.1687  3 Sc 3.27-3.60, 1 Dy 3.39, 6 Nd 3.43-3.62
Sc 0.5000 0.3680 0.8313  3 Sc 3.27-3.60, 1 Dy 3.39, 6 Nd 3.43-3.62
Sc 0.5000 0.1687 0.6320  3 Sc 3.27-3.60, 1 Dy 3.39, 6 Nd 3.43-3.62
Sc 0.5000 0.8313 0.3680  3 Sc 3.27-3.60, 1 Dy 3.39, 6 Nd 3.43-3.62
Sc 0.5000 0.7880 0.9351  1 Dy 3.40, 8 Nd 3.43-3.63, 3 Sc 3.60-3.67
Sc 0.5000 0.2120 0.0649  1 Dy 3.40, 8 Nd 3.43-3.63, 3 Sc 3.60-3.67
Sc 0.5000 0.9351 0.7880  1 Dy 3.40, 8 Nd 3.43-3.63, 3 Sc 3.60-3.67
Sc 0.5000 0.0649 0.2120  1 Dy 3.40, 8 Nd 3.43-3.63, 3 Sc 3.60-3.67
Sc 0.5000 0.5000 0.5000  2 Sc 3.60, 4 Dy 3.62, 8 Nd 3.79-3.97

Summary:
V, A^3/atom: 30.7
Raw total energy, eV/cell: -125.25
Size of the total moment, μB per formula unit: 0.000
Symmetry: Cmmm